# 1
In3HgPt12 | the Alexandria database | PBE-GGA | relaxed; formation energy from the elements = -0.2686 eV per atom; crystal system = tetragonal; SG = P4/mmm
1.0
-3.860 0.434 -1.178
-0.738 -3.865 0.997
-4.045 4.629 14.954
In Hg Pt
3 1 12
Cartesian
-1.011 1.157 3.736
-2.022 2.315 7.477
-3.034 3.473 11.218
0.000 0.000 0.000
-2.299 -1.716 -0.091
-3.317 -0.551 3.672
-4.322 0.599 7.386
-5.327 1.749 11.101
-2.445 0.806 1.314
-3.448 1.954 5.023
-4.457 3.109 8.753
-5.460 4.257 12.462
-0.884 -1.344 2.401
-1.887 -0.195 6.110
-2.896 0.959 9.841
-3.899 2.108 13.550


# 2
InHgPt2 | the Alexandria database | PBE-GGA | relaxed; formation energy from the elements = -0.1834 eV per atom; crystal system = monoclinic; SG = C2/m
1.0
-1.322 -4.064 -2.566
2.785 -3.843 -1.523
-0.388 -3.617 2.298
Hg In Pt
1 1 2
Cartesian
0.806 -8.642 -1.343
0.269 -2.881 -0.448
1.462 -7.901 -4.081
0.540 -5.767 -0.903


# 3
In2HgPt | the Alexandria database | PBE-GGA | relaxed; formation energy from the elements = -0.0622 eV per atom; crystal system = tetragonal; SG = P4mm
1.0
3.264 0.000 0.000
0.000 3.264 0.000
0.000 0.000 8.457
Hg In Pt
1 2 1
Cartesian
1.632 1.632 6.039
0.000 0.000 8.430
1.632 1.632 2.536
0.000 0.000 4.137


# 4
InHg2Pt | the Alexandria database | PBE-GGA | relaxed; formation energy from the elements = -0.0986 eV per atom; crystal system = monoclinic; SG = C2/m
1.0
7.202 -0.002 0.000
6.561 2.970 0.000
1.452 0.313 4.312
Hg In Pt
2 1 1
Cartesian
13.072 2.819 0.245
8.300 1.790 1.910
11.412 2.461 3.233
3.804 0.820 1.078


# 5
InHg2Pt | the Alexandria database | PBE-GGA | relaxed; formation energy from the elements = 0.0449 eV per atom; crystal system = tetragonal; SG = P4/mmm
1.0
-3.769 0.459 -0.733
0.689 -0.393 -3.784
-0.764 -5.574 0.440
Hg In Pt
2 1 1
Cartesian
-0.758 -5.532 0.437
-0.388 -2.830 0.223
-1.731 -1.361 -2.149
-2.113 -4.148 -1.929


# 6
InHgPt2 | the Alexandria database | PBE-GGA | relaxed; formation energy from the elements = 0.0004 eV per atom; crystal system = tetragonal; SG = P4mm
1.0
-0.633 2.630 -1.582
-0.087 -1.632 -2.673
-7.610 -1.231 0.999
Hg In Pt
1 1 2
Cartesian
-3.591 -0.581 0.471
-6.362 -0.472 -1.340
-0.049 -0.008 0.006
-2.134 0.212 -1.895


# 7
In2HgPt | the Alexandria database | PBE-GGA | relaxed; formation energy from the elements = -0.1651 eV per atom; crystal system = orthorhombic; SG = Imm2
1.0
-1.780 4.772 5.127
-5.128 5.033 0.778
2.623 -6.658 -1.010
Hg In Pt
1 2 1
Cartesian
-3.367 2.188 1.692
-6.815 9.673 5.826
-0.922 0.963 3.207
-3.544 5.030 3.029


# 8
InHg2Pt2 | the Alexandria database | PBE-GGA | relaxed; formation energy from the elements = 0.0399 eV per atom; crystal system = tetragonal; SG = I4/mmm
1.0
-2.368 -3.139 0.174
2.982 -2.312 -1.121
2.036 -3.667 6.070
Hg Pt In
2 2 1
Cartesian
-0.013 -4.766 2.886
2.662 -4.352 2.238
0.633 -2.903 0.761
2.017 -6.215 4.362
0.000 0.000 0.000


# 9
In2HgPt | the Alexandria database | PBE-GGA | relaxed; formation energy from the elements = -0.0393 eV per atom; crystal system = monoclinic; SG = C2/m
1.0
4.792 -0.027 -0.026
-1.182 4.644 -0.026
0.027 0.034 3.838
Hg In Pt
1 2 1
Cartesian
-0.577 2.339 1.906
0.000 0.000 0.000
1.805 2.308 -0.026
2.409 0.004 1.906


# 10
InHg2Pt | the Alexandria database | PBE-GGA | relaxed; formation energy from the elements = -0.0123 eV per atom; crystal system = tetragonal; SG = P4mm
1.0
3.343 0.000 0.000
0.000 3.343 0.000
0.000 0.000 7.860
Hg In Pt
2 1 1
Cartesian
0.000 0.000 7.604
1.672 1.672 1.976
0.000 0.000 4.286
1.672 1.672 5.785


# 11
InHgPt2 | the Alexandria database | PBE-GGA | relaxed; formation energy from the elements = -0.0373 eV per atom; crystal system = cubic; SG = F-43m
1.0
-2.002 0.325 4.229
-4.674 0.016 0.387
-2.214 -3.704 1.838
Hg In Pt
1 1 2
Cartesian
-4.444 -1.681 3.227
-2.222 -0.841 1.613
0.000 0.000 0.000
-6.667 -2.522 4.840


# 12
InHg4Pt | the Alexandria database | PBE-GGA | relaxed; formation energy from the elements = 0.3591 eV per atom; crystal system = cubic; SG = F-43m
1.0
0.000 4.133 4.133
4.133 0.000 4.133
4.133 4.133 0.000
In Hg Pt
1 4 1
Cartesian
6.199 6.199 6.199
5.172 3.094 5.172
3.094 5.172 5.172
5.172 5.172 3.094
3.094 3.094 3.094
0.000 0.000 0.000


# 13
InHg2Pt2 | the Alexandria database | PBE-GGA | relaxed; formation energy from the elements = -0.1136 eV per atom; crystal system = tetragonal; SG = P4/mbm
1.0
7.105 0.000 0.000
0.000 7.105 0.000
0.000 0.000 3.990
Hg Pt In
4 4 2
Cartesian
1.131 4.683 1.995
4.683 5.974 1.995
5.974 2.421 1.995
2.421 1.131 1.995
2.543 6.095 0.000
6.095 4.562 0.000
4.562 1.010 0.000
1.010 2.543 0.000
0.000 0.000 0.000
3.552 3.552 0.000


# 14
InHgPt2 | the Alexandria database | PBE-GGA | relaxed; formation energy from the elements = -0.1619 eV per atom; crystal system = cubic; SG = Fm-3m
1.0
0.709 3.056 3.478
-1.575 4.395 -0.386
-3.602 1.436 2.627
Hg Pt In
1 2 1
Cartesian
-2.234 4.443 2.860
-1.117 2.222 1.430
-3.351 6.665 4.290
0.000 0.000 0.000


# 15
InHg2Pt | the Alexandria database | PBE-GGA | relaxed; formation energy from the elements = 0.0173 eV per atom; crystal system = monoclinic; SG = P2/m
1.0
5.515 0.000 0.000
0.000 3.159 -0.003
0.000 -0.279 4.904
Hg In Pt
2 1 1
Cartesian
0.000 2.868 4.885
0.000 1.452 2.466
2.757 0.720 1.225
2.757 2.160 3.676


# 16
In2HgPt | the Alexandria database | PBE-GGA | relaxed; formation energy from the elements = -0.0707 eV per atom; crystal system = tetragonal; SG = P4mm
1.0
3.933 0.000 0.000
0.000 3.942 0.000
0.000 0.000 5.690
Hg In Pt
1 2 1
Cartesian
1.967 1.971 4.460
0.000 0.000 5.494
1.967 1.971 1.716
0.000 0.000 2.555


# 17
In2HgPt | the Alexandria database | PBE-GGA | relaxed; formation energy from the elements = -0.1996 eV per atom; crystal system = monoclinic; SG = P2/m
1.0
-0.468 -3.354 -0.219
3.078 -0.459 0.447
-1.419 -0.355 8.459
Hg In Pt
1 2 1
Cartesian
1.011 -2.287 6.570
2.204 -0.357 0.762
1.705 -0.508 4.137
0.181 -1.880 2.117


# 18
InHg2Pt2 | the Alexandria database | PBE-GGA | relaxed; formation energy from the elements = 0.1281 eV per atom; crystal system = tetragonal; SG = I4/mmm
1.0
3.965 0.000 0.000
0.000 3.965 0.000
1.983 1.983 6.939
Hg Pt In
2 2 1
Cartesian
1.983 1.983 1.472
3.965 3.965 5.467
3.965 1.983 3.470
1.983 3.965 3.470
0.000 0.000 0.000


# 19
InHgPt2 | the Alexandria database | PBE-GGA | relaxed; formation energy from the elements = -0.0658 eV per atom; crystal system = tetragonal; SG = P4mm
1.0
-1.535 3.222 -0.763
0.469 -0.621 -3.566
-5.109 -2.490 -0.239
Hg In Pt
1 1 2
Cartesian
-2.393 -1.166 -0.112
-4.538 -0.651 -2.352
-4.979 -2.426 -0.233
-1.928 0.621 -2.230


# 20
In2HgPt | the Alexandria database | PBE-GGA | relaxed; formation energy from the elements = -0.1798 eV per atom; crystal system = trigonal; SG = R3m
1.0
4.410 0.000 0.000
2.205 3.819 0.000
2.205 1.273 5.725
In Hg Pt
2 1 1
Cartesian
2.205 1.273 4.589
2.205 1.273 1.076
4.410 2.546 2.925
6.614 3.819 5.721